(1)
Material: PrY2PbC
Method: DFT, GGA-PBE
State: relaxed

For the density, the calculation gives 7.1 g/cm3. The raw total energy comes out at -6.6198 eV/atom. Its crystal system is tetragonal. The formation energy from the elements comes out at -492 meV per atom.

The space group is P4/mmm (No. 123) and the conventional cell measures 4.9434, 4.9434 and 5.1820 Å, with angles of 90.00, 90.00 and 90.00 degrees. The distinct sites, in fractional coordinates, are Pr at (0.0000, 0.0000, 0.0000), Y at (0.0000, 0.5000, 0.5000), Pb at (0.5000, 0.5000, 0.0000) and C at (0.0000, 0.0000, 0.5000).

(2)
Material: Al2Cu3Ni3
Method: DFT, GGA-PBE
State: relaxed

For the density, the calculation gives 7.3 g/cm3. The raw total energy comes out at -4.9289 eV/atom. Its crystal system is triclinic. As for the polymorph energy (0 for the lowest one): 0.052 eV/atom. The formation energy from the elements comes out at -289 meV per atom.

The space group is P-1 (No. 2) and the conventional cell measures 4.9850, 6.4017 and 6.7098 Å, with angles of 82.26, 69.72 and 71.69 degrees. The distinct sites, in fractional coordinates, are Al at (0.1146, 0.1789, 0.4628), Al at (0.3746, 0.1038, 0.7889), Cu at (0.1196, 0.9667, 0.1583), Cu at (0.1313, 0.6517, 0.9644), Cu at (0.3770, 0.5827, 0.2860), Ni at (0.1282, 0.4660, 0.6605), Ni at (0.3744, 0.8005, 0.5887) and Ni at (0.3793, 0.2731, 0.0946).

(3)
Material: PrUTe2N
Method: DFT, GGA-PBE
State: relaxed

For the energy relative to the elements, uncorrected, the calculation gives -1.25 eV/atom. For the density, the calculation gives 7.7 g/cm3. The raw total energy comes out at -7.3884 eV/atom. Its crystal system is tetragonal.

The space group is P4/nmm (No. 129, origin choice 2) and the conventional cell measures 4.0642, 4.0642 and 16.8521 Å, with angles of 90.00, 90.00 and 90.00 degrees. The distinct sites, in fractional coordinates, are Pr at (0.2500, 0.2500, 0.1473), U at (0.2500, 0.2500, 0.5639), Te at (0.2500, 0.2500, 0.3300), Te at (0.2500, 0.2500, 0.9218) and N at (0.2500, 0.7500, 0.5000).

(4)
Material: Y2NiSb2
Method: DFT, GGA-PBE
State: relaxed

For the energy relative to the elements, uncorrected, the calculation gives -0.63 eV/atom. For the density, the calculation gives 6.8 g/cm3. The raw total energy comes out at -6.0222 eV/atom. Its crystal system is tetragonal.

The space group is P4/mbm (No. 127) and the conventional cell measures 7.0284, 7.0284 and 4.7451 Å, with angles of 90.00, 90.00 and 90.00 degrees. The distinct sites, in fractional coordinates, are Y at (0.1691, 0.3309, 0.0000), Ni at (0.0000, 0.0000, 0.5000) and Sb at (0.1481, 0.6481, 0.5000).